# La2HoTm2Hg5 | Alexandria | PBE | optimized geometry
# DOS(E_F) = 13.5 states/eV/cell
# DFT formation energy = -359.6 meV/atom
# Energy = -2.85 eV per atom
data_La2HoTm2Hg5
_chemical_formula_sum 'La4 Ho2 Tm4 Hg10'
_symmetry_space_group_name_H-M 'P 4/m b m'
_symmetry_Int_Tables_number 127
_symmetry_space_group_name_Hall '-P 4 2ab'
_cell_length_a 11.952
_cell_length_b 11.952
_cell_length_c 3.932
_cell_angle_alpha 90.00
_cell_angle_beta 90.00
_cell_angle_gamma 90.00
loop_
_atom_site_label
_atom_site_fract_x
_atom_site_fract_y
_atom_site_fract_z
La1 0.172 0.328 0.000
Ho1 0.000 0.000 0.000
Tm1 0.131 0.631 0.000
Hg1 0.000 0.500 0.500
Hg2 0.086 0.820 0.500

=====

# TbPm2Dy3Te6 | Alexandria | PBE | optimized geometry
# Formation energy from raw total energies = -1.329 eV/atom
# DOS(E_F) = 12.8 states/eV/cell
# Energy = -5.23 eV per atom
data_TbPm2Dy3Te6
_chemical_formula_sum 'Tb2 Pm4 Dy6 Te12'
_symmetry_space_group_name_H-M 'C 1 2/m 1'
_symmetry_Int_Tables_number 12
_symmetry_space_group_name_Hall '-C 2y'
_cell_length_a 19.177
_cell_length_b 4.365
_cell_length_c 8.850
_cell_angle_alpha 90.00
_cell_angle_beta 103.59
_cell_angle_gamma 90.00
loop_
_atom_site_label
_atom_site_fract_x
_atom_site_fract_y
_atom_site_fract_z
Tb1 0.000 0.000 0.000
Pm1 0.168 0.500 0.335
Dy1 0.000 0.000 0.500
Dy2 0.170 0.500 0.833
Te1 0.003 0.500 0.750
Te2 0.164 0.000 0.588
Te3 0.166 0.000 0.076

=====

# ScSb3Ir | Alexandria | PBE | optimized geometry
# Formation energy from raw total energies = 0.370 eV/atom
# DOS(E_F) = 7.5 states/eV/cell
# Energy above the lowest structure with this stoichiometry = 0 meV/atom
# Energy = -5.14 eV per atom
data_ScSb3Ir
_chemical_formula_sum 'Sc1 Sb3 Ir1'
_symmetry_space_group_name_H-M 'P m -3 m'
_symmetry_Int_Tables_number 221
_symmetry_space_group_name_Hall '-P 4 2 3'
_cell_length_a 5.208
_cell_length_b 5.208
_cell_length_c 5.208
_cell_angle_alpha 90.00
_cell_angle_beta 90.00
_cell_angle_gamma 90.00
loop_
_atom_site_label
_atom_site_fract_x
_atom_site_fract_y
_atom_site_fract_z
Sc1 0.000 0.000 0.000
Sb1 0.000 0.500 0.500
Ir1 0.500 0.500 0.500

=====

# Pm2Ge3Pd2 | Alexandria | PBE | optimized geometry
# DOS(E_F) = 12.7 states/eV/cell
# DFT formation energy = -866.7 meV/atom
# Energy above the lowest structure with this stoichiometry = 0 meV/atom
# Energy = -5.69 eV per atom
data_Pm2Ge3Pd2
_chemical_formula_sum 'Pm8 Ge12 Pd8'
_symmetry_space_group_name_H-M 'C m c m'
_symmetry_Int_Tables_number 63
_symmetry_space_group_name_Hall '-C 2c 2'
_cell_length_a 4.305
_cell_length_b 18.541
_cell_length_c 7.115
_cell_angle_alpha 90.00
_cell_angle_beta 90.00
_cell_angle_gamma 90.00
loop_
_atom_site_label
_atom_site_fract_x
_atom_site_fract_y
_atom_site_fract_z
Pm1 0.000 0.054 0.250
Pm2 0.000 0.156 0.750
Ge1 0.000 0.223 0.250
Ge2 0.000 0.437 0.067
Pd1 0.000 0.305 0.549

=====

# Ho3Er12Sc | Alexandria | PBE | optimized geometry
# DOS(E_F) = 21.9 states/eV/cell
# DFT formation energy = 27.5 meV/atom
# Energy = -4.65 eV per atom
data_Ho3Er12Sc
_chemical_formula_sum 'Ho3 Er12 Sc1'
_symmetry_space_group_name_H-M 'P 4/m m m'
_symmetry_Int_Tables_number 123
_symmetry_space_group_name_Hall '-P 4 2'
_cell_length_a 4.947
_cell_length_b 4.947
_cell_length_c 19.732
_cell_angle_alpha 90.00
_cell_angle_beta 90.00
_cell_angle_gamma 90.00
loop_
_atom_site_label
_atom_site_fract_x
_atom_site_fract_y
_atom_site_fract_z
Ho1 0.000 0.000 0.000
Ho2 0.000 0.000 0.252
Er1 0.000 0.500 0.126
Er2 0.000 0.500 0.378
Er3 0.500 0.500 0.000
Er4 0.500 0.500 0.253
Er5 0.500 0.500 0.500
Sc1 0.000 0.000 0.500

=====

# SnTe2BrN | Alexandria | PBE | optimized geometry
# Formation energy from raw total energies = 0.857 eV/atom
# DOS(E_F) = 6.8 states/eV/cell
# Energy above the lowest structure with this stoichiometry = 0 meV/atom
# Energy = -3.20 eV per atom
data_SnTe2BrN
_chemical_formula_sum 'Sn1 Te2 Br1 N1'
_symmetry_space_group_name_H-M 'P 4/m m m'
_symmetry_Int_Tables_number 123
_symmetry_space_group_name_Hall '-P 4 2'
_cell_length_a 6.047
_cell_length_b 6.047
_cell_length_c 3.865
_cell_angle_alpha 90.00
_cell_angle_beta 90.00
_cell_angle_gamma 90.00
loop_
_atom_site_label
_atom_site_fract_x
_atom_site_fract_y
_atom_site_fract_z
Sn1 0.000 0.000 0.000
Te1 0.000 0.500 0.000
Br1 0.500 0.500 0.500
N1 0.000 0.000 0.500

=====

# Ca2GaGeRh | Alexandria | PBE | optimized geometry
# DOS(E_F) = 3.5 states/eV/cell
# DFT formation energy = 67.6 meV/atom
# Energy = -3.73 eV per atom
data_Ca2GaGeRh
_chemical_formula_sum 'Ca2 Ga1 Ge1 Rh1'
_symmetry_space_group_name_H-M 'P 4/m m m'
_symmetry_Int_Tables_number 123
_symmetry_space_group_name_Hall '-P 4 2'
_cell_length_a 5.510
_cell_length_b 5.510
_cell_length_c 4.522
_cell_angle_alpha 90.00
_cell_angle_beta 90.00
_cell_angle_gamma 90.00
loop_
_atom_site_label
_atom_site_fract_x
_atom_site_fract_y
_atom_site_fract_z
Ca1 0.000 0.500 0.000
Ga1 0.000 0.000 0.000
Ge1 0.500 0.500 0.500
Rh1 0.000 0.000 0.500

=====

# Ga2NiW | Alexandria | PBE | optimized geometry
# DOS(E_F) = 10.6 states/eV/cell
# DFT formation energy = 345.3 meV/atom
# Energy above the lowest structure with this stoichiometry = 147 meV/atom
# Energy = -5.85 eV per atom
data_Ga2NiW
_chemical_formula_sum 'Ga8 Ni4 W4'
_symmetry_space_group_name_H-M 'I -4 2 d'
_symmetry_Int_Tables_number 122
_symmetry_space_group_name_Hall 'I -4 2bw'
_cell_length_a 6.732
_cell_length_b 6.732
_cell_length_c 5.341
_cell_angle_alpha 90.00
_cell_angle_beta 90.00
_cell_angle_gamma 90.00
loop_
_atom_site_label
_atom_site_fract_x
_atom_site_fract_y
_atom_site_fract_z
Ga1 0.217 0.250 0.125
Ni1 0.000 0.000 0.000
W1 0.000 0.000 0.500